## CaY2Pb2 (PBE)

Data for a relaxed CaY2Pb2 crystal. Values from VASP.

Values from the calculation:
Its polymorph energy (0 for the lowest one) is 0 meV per atom. Its formation enthalpy at 0 K is -0.472 eV per atom. The calculation puts the final energy at -49.414 eV/cell.

```
&SYSTEM
  ibrav = 0, nat = 10, ntyp = 3
/
ATOMIC_SPECIES
Ca 40.08 Ca.upf
Y 88.91 Y.upf
Pb 207.20 Pb.upf
ATOMIC_POSITIONS crystal
Ca 0.0000 0.0000 0.0000
Ca 0.5000 0.5000 0.0000
Y 0.1419 0.3581 0.5000
Y 0.3581 0.8581 0.5000
Y 0.6419 0.1419 0.5000
Y 0.8581 0.6419 0.5000
Pb 0.1594 0.6594 0.0000
Pb 0.3406 0.1594 0.0000
Pb 0.6594 0.8406 0.0000
Pb 0.8406 0.3406 0.0000
CELL_PARAMETERS angstrom
8.9332 0.0000 0.0000
0.0000 8.9332 0.0000
0.0000 0.0000 3.8562
```